First-principles (PBE) data for an optimized crystal structure of BaTa2W, as listed in the Alexandria database.

a b c (Å): 3.0364 4.4004 7.4618
angles (deg): 90.00 93.01 90.00
Space group Pm (No. 6)
Inequivalent atoms, fractional coordinates:
Ba: 0.0000 0.0000 0.0000 [1 per cell]
Ta: 0.0786 0.5000 0.6492 [1 per cell]
Ta: 0.6302 0.0000 0.4817 [1 per cell]
W: 0.2668 0.5000 0.3314 [1 per cell]

Summary:
**Uncorrected energy**: -35.564 eV per cell
**Polymorph energy (0 for the lowest one)**: 157 meV per atom



First-principles (PBE) data for an optimized crystal structure of HfMoRu, as listed in the Alexandria database.

a b c (Å): 4.5961 4.5961 5.4520
angles (deg): 90.00 90.00 120.00
Space group P-3m1 (No. 164)
Inequivalent atoms, fractional coordinates:
Hf: 0.3333 0.6667 0.1690 [2 per cell]
Mo: 0.0000 0.0000 0.0000 [1 per cell]
Mo: 0.0000 0.0000 0.5000 [1 per cell]
Ru: 0.3333 0.6667 0.6605 [2 per cell]

Summary:
**Uncorrected energy**: -62.034 eV per cell
**Polymorph energy (0 for the lowest one)**: 48 meV per atom



First-principles (PBE) data for an optimized crystal structure of Pr2CdAgN, as listed in the Alexandria database.

a b c (Å): 3.9975 3.9975 14.2692
angles (deg): 90.00 90.00 90.00
Space group P4/nmm (No. 129, origin choice 2)
Inequivalent atoms, fractional coordinates:
Pr: 0.2500 0.2500 0.0816 [2 per cell]
Pr: 0.2500 0.2500 0.7460 [2 per cell]
Cd: 0.2500 0.7500 0.5000 [2 per cell]
Ag: 0.2500 0.2500 0.3461 [2 per cell]
N: 0.2500 0.2500 0.9134 [2 per cell]

Summary:
**Uncorrected energy**: -48.884 eV per cell
**Uncorrected formation energy**: -0.5583 eV per atom



First-principles (PBE) data for an optimized crystal structure of LuThIrOs, as listed in the Alexandria database.

a b c (Å): 6.9455 6.9455 6.9455
angles (deg): 90.00 90.00 90.00
Space group F-43m (No. 216)
Inequivalent atoms, fractional coordinates:
Lu: 0.0000 0.0000 0.0000 [4 per cell]
Th: 0.0000 0.0000 0.5000 [4 per cell]
Ir: 0.2500 0.2500 0.2500 [4 per cell]
Os: 0.2500 0.2500 0.7500 [4 per cell]

Summary:
**Uncorrected energy**: -136.597 eV per cell



First-principles (PBE) data for an optimized crystal structure of NbMoH2, as listed in the Alexandria database.

a b c (Å): 3.0233 3.0233 15.4208
angles (deg): 90.00 90.00 120.00
Space group R-3m (No. 166, hexagonal axes)
Inequivalent atoms, fractional coordinates:
Nb: 0.0000 0.0000 0.0000 [3 per cell]
Mo: 0.0000 0.0000 0.5000 [3 per cell]
H: 0.0000 0.0000 0.1237 [6 per cell]

Summary:
**Uncorrected energy**: -82.104 eV per cell
**Polymorph energy (0 for the lowest one)**: 55 meV per atom



First-principles (PBE) data for an optimized crystal structure of Na2AlInO4, as listed in the Alexandria database.

a b c (Å): 5.4054 3.1004 5.7401
angles (deg): 90.00 108.21 90.00
Space group P2/m (No. 10)
Inequivalent atoms, fractional coordinates:
Na: 0.0000 0.0000 0.0000 [1 per cell]
Na: 0.5000 0.5000 0.0000 [1 per cell]
Al: 0.0000 0.5000 0.5000 [1 per cell]
In: 0.5000 0.0000 0.5000 [1 per cell]
O: 0.2109 0.0000 0.6970 [2 per cell]
O: 0.2335 0.5000 0.2976 [2 per cell]

Summary:
**Uncorrected energy**: -45.041 eV per cell
**Uncorrected formation energy**: -2.0111 eV per atom